Entry 1:
Density functional theory data (PBE) for a relaxed structure of Li4CdTe3.

The structure in CIF format:
```
data_Li4CdTe3
_chemical_formula_sum 'Li16 Cd4 Te12'
_space_group_name_H-M_alt 'C 1 c 1'
_space_group_IT_number 9
_cell_length_a 14.9029
_cell_length_b 7.2773
_cell_length_c 9.4233
_cell_angle_alpha 90.00
_cell_angle_beta 115.11
_cell_angle_gamma 90.00
loop_
_space_group_symop_operation_xyz
'x,y,z'
'x,-y,z+1/2'
'x+1/2,y+1/2,z'
'x+1/2,-y+1/2,z+1/2'
loop_
_atom_site_label
_atom_site_type_symbol
_atom_site_fract_x
_atom_site_fract_y
_atom_site_fract_z
Li1 Li 0.0000 0.1486 0.0000
Li2 Li 0.0746 0.2889 0.7220
Li3 Li 0.1242 0.1518 0.4187
Li4 Li 0.2475 0.3217 0.1302
Cd1 Cd 0.3861 0.1667 0.7884
Te1 Te 0.0675 0.4942 0.9708
Te2 Te 0.2057 0.0067 0.7272
Te3 Te 0.4236 0.4899 0.1936
```

## Properties
ΔE_f (raw) = -0.79 eV per atom
total magnetization = 0.0 μB per formula unit

Entry 2:
Density functional theory data (PBE) for a relaxed structure of Li2GaAu5.

The structure in CIF format:
```
data_Li2GaAu5
_chemical_formula_sum 'Li4 Ga2 Au10'
_space_group_name_H-M_alt 'P b a m'
_space_group_IT_number 55
_cell_length_a 5.5932
_cell_length_b 11.1880
_cell_length_c 4.2246
_cell_angle_alpha 90.00
_cell_angle_beta 90.00
_cell_angle_gamma 90.00
loop_
_space_group_symop_operation_xyz
'x,y,z'
'-x,-y,-z'
'-x,-y,z'
'x,y,-z'
'x+1/2,-y+1/2,-z'
'-x+1/2,y+1/2,z'
'-x+1/2,y+1/2,-z'
'x+1/2,-y+1/2,z'
loop_
_atom_site_label
_atom_site_type_symbol
_atom_site_fract_x
_atom_site_fract_y
_atom_site_fract_z
Li1 Li 0.1978 0.1374 0.0000
Ga1 Ga 0.0000 0.5000 0.5000
Au1 Au 0.0000 0.0000 0.5000
Au2 Au 0.0518 0.7424 0.5000
Au3 Au 0.2064 0.3896 0.0000
```

## Properties
total magnetization = 0.0 μB per formula unit
E_form = -9.19 kcal/mol of atoms
energy relative to the lowest polymorph listed for this composition = 0 meV/atom

Entry 3:
Density functional theory data (PBE) for a relaxed structure of Ga5Ge3Te12.

The structure in CIF format:
```
data_Ga5Ge3Te12
_chemical_formula_sum 'Ga40 Ge24 Te96'
_space_group_name_H-M_alt 'I a -3 d'
_space_group_IT_number 230
_space_group_name_Hall '-I 4bd 2c 3'
_cell_length_a 17.0227
_cell_length_b 17.0227
_cell_length_c 17.0227
_cell_angle_alpha 90.00
_cell_angle_beta 90.00
_cell_angle_gamma 90.00
loop_
_atom_site_label
_atom_site_type_symbol
_atom_site_fract_x
_atom_site_fract_y
_atom_site_fract_z
Ga1 Ga 0.0000 0.0000 0.0000
Ga2 Ga 0.0000 0.2500 0.3750
Ge1 Ge 0.0000 0.2500 0.1250
Te1 Te 0.0246 0.0661 0.6512
```

## Properties
ΔE_f (raw) = -0.01 eV per atom
total magnetization = 0.0 μB per formula unit

Sequential ρ output: 3.8 13.4 5.6 g cm⁻³